Below is a geometry-optimized NbTcP structure, with properties calculated at the GGA-PBE level.

Calculated values
E	-54.52	eV per cell
spin magnetization	0.000	μB per atom
ΔH_f (0 K)	-1.415	eV per formula unit
distance to the lowest polymorph of the same formula	147	meV per atom
space group	C2/m, No. 12

Unit cell a=5.0075 b=5.0075 c=4.4253 alpha=107.76 beta=107.76 gamma=61.33
Fractional coordinates of all 6 atoms:
Nb (0.2480, 0.7520, 0.0000)
Nb (0.7520, 0.2480, 0.0000)
Tc (0.1787, 0.1787, 0.6233)
Tc (0.8213, 0.8213, 0.3767)
P (0.3074, 0.3074, 0.2350)
P (0.6926, 0.6926, 0.7650)

Below is a geometry-optimized La5PmHg2 structure, with properties calculated at the GGA-PBE level.

Calculated values
E	-62.26	eV per cell
spin magnetization	0.000	μB per atom
ΔH_f (0 K)	-1.139	eV per formula unit
space group	P6_3/mmc, No. 194

Unit cell a=5.6231 b=5.6231 c=20.3422 alpha=90.00 beta=90.00 gamma=120.00
Fractional coordinates of all 16 atoms:
La (0.0000, 0.0000, 0.1596)
La (0.0000, 0.0000, 0.3404)
La (0.0000, 0.0000, 0.6596)
La (0.0000, 0.0000, 0.8404)
La (0.3333, 0.6667, 0.0622)
La (0.3333, 0.6667, 0.2500)
La (0.3333, 0.6667, 0.4378)
La (0.6667, 0.3333, 0.5622)
La (0.6667, 0.3333, 0.7500)
La (0.6667, 0.3333, 0.9378)
Pm (0.3333, 0.6667, 0.7500)
Pm (0.6667, 0.3333, 0.2500)
Hg (0.3333, 0.6667, 0.5966)
Hg (0.3333, 0.6667, 0.9034)
Hg (0.6667, 0.3333, 0.0966)
Hg (0.6667, 0.3333, 0.4034)

Below is a geometry-optimized Nb2TeNCl structure, with properties calculated at the GGA-PBE level.

Calculated values
raw formation energy	2.02	eV per atom
E	-23.34	eV per cell
spin magnetization	0.059	μB per atom
space group	P4/mmm, No. 123

Unit cell a=4.4903 b=4.4903 c=5.4733 alpha=90.00 beta=90.00 gamma=90.00
Fractional coordinates of all 5 atoms:
Nb (0.0000, 0.5000, 0.0000)
Nb (0.5000, 0.0000, 0.0000)
Te (0.0000, 0.0000, 0.5000)
N (0.5000, 0.5000, 0.5000)
Cl (0.0000, 0.0000, 0.0000)

Below is a geometry-optimized LiCoNiH4 structure, with properties calculated at the GGA-PBE level.

Calculated values
E	-58.81	eV per cell
spin magnetization	0.000	μB per atom
space group	Imma, No. 74

Unit cell a=5.1639 b=5.1639 c=5.1639 alpha=119.70 beta=119.43 gamma=90.75
Fractional coordinates of all 14 atoms:
Li (0.3702, 0.1202, 0.2500)
Li (0.6298, 0.8798, 0.7500)
Co (0.0000, 0.0000, 0.5000)
Co (0.0000, 0.5000, 0.0000)
Ni (0.0000, 0.5000, 0.5000)
Ni (0.5000, 0.5000, 0.0000)
H (0.1939, 0.7396, 0.4543)
H (0.2147, 0.2604, 0.9543)
H (0.2260, 0.2642, 0.5381)
H (0.2260, 0.6879, 0.9619)
H (0.7740, 0.3121, 0.0381)
H (0.7740, 0.7358, 0.4619)
H (0.7853, 0.7396, 0.0457)
H (0.8061, 0.2604, 0.5457)

Below is a geometry-optimized Cs2CdInBr5 structure, with properties calculated at the GGA-PBE level.

Calculated values
raw formation energy	-1.17	eV per atom
E	-24.30	eV per cell
spin magnetization	0.000	μB per atom
space group	Immm, No. 71

Unit cell a=9.8319 b=9.8319 c=9.8319 alpha=147.64 beta=132.48 gamma=58.66
Fractional coordinates of all 9 atoms:
Cs (0.2054, 0.2054, 0.0000)
Cs (0.7946, 0.7946, 0.0000)
Cd (0.0000, 0.5000, 0.5000)
In (0.5000, 0.0000, 0.5000)
Br (0.0000, 0.0000, 0.0000)
Br (0.1392, 0.3844, 0.7548)
Br (0.3703, 0.6156, 0.7548)
Br (0.6297, 0.3844, 0.2452)
Br (0.8608, 0.6156, 0.2452)

Below is a geometry-optimized Nd2P3Pd3 structure, with properties calculated at the GGA-PBE level.

Calculated values
E	-98.03	eV per cell
spin magnetization	0.000	μB per atom
ΔH_f (0 K)	-7.672	eV per formula unit
space group	P6_3/mcm, No. 193

Unit cell a=6.9053 b=6.9053 c=8.3687 alpha=90.00 beta=90.00 gamma=120.00
Fractional coordinates of all 16 atoms:
Nd (0.3333, 0.6667, 0.0000)
Nd (0.3333, 0.6667, 0.5000)
Nd (0.6667, 0.3333, 0.0000)
Nd (0.6667, 0.3333, 0.5000)
P (0.0000, 0.3831, 0.2500)
P (0.0000, 0.6169, 0.7500)
P (0.3831, 0.0000, 0.2500)
P (0.3831, 0.3831, 0.7500)
P (0.6169, 0.0000, 0.7500)
P (0.6169, 0.6169, 0.2500)
Pd (0.0000, 0.2688, 0.7500)
Pd (0.0000, 0.7312, 0.2500)
Pd (0.2688, 0.0000, 0.7500)
Pd (0.2688, 0.2688, 0.2500)
Pd (0.7312, 0.0000, 0.2500)
Pd (0.7312, 0.7312, 0.7500)

Below is a geometry-optimized CaRhF structure, with properties calculated at the GGA-PBE level.

Calculated values
raw formation energy	-1.77	eV per atom
E	-66.13	eV per cell
spin magnetization	0.049	μB per atom
distance to the lowest polymorph of the same formula	149	meV per atom
space group	Pnma, No. 62

Unit cell a=14.8070 b=4.7028 c=2.9506 alpha=90.00 beta=90.00 gamma=90.00
Fractional coordinates of all 12 atoms:
Ca (0.0903, 0.2500, 0.0003)
Ca (0.4097, 0.7500, 0.5003)
Ca (0.5903, 0.2500, 0.4997)
Ca (0.9097, 0.7500, 0.9997)
Rh (0.2410, 0.7500, 0.0030)
Rh (0.2590, 0.2500, 0.5030)
Rh (0.7410, 0.7500, 0.4970)
Rh (0.7590, 0.2500, 0.9970)
F (0.0000, 0.0000, 0.5000)
F (0.0000, 0.5000, 0.5000)
F (0.5000, 0.0000, 0.0000)
F (0.5000, 0.5000, 0.0000)

Below is a geometry-optimized TcHg2Os structure, with properties calculated at the GGA-PBE level.

Calculated values
E	-17.89	eV per cell
spin magnetization	0.325	μB per atom
ΔH_f (0 K)	4.311	eV per formula unit
distance to the lowest polymorph of the same formula	755	meV per atom
space group	P4/mmm, No. 123

Unit cell a=4.6354 b=4.6354 c=3.2274 alpha=90.00 beta=90.00 gamma=90.00
Fractional coordinates of all 4 atoms:
Tc (0.0000, 0.0000, 0.0000)
Hg (0.0000, 0.5000, 0.5000)
Hg (0.5000, 0.0000, 0.5000)
Os (0.5000, 0.5000, 0.0000)

Below is a geometry-optimized PRh structure, with properties calculated at the GGA-PBE level.

Calculated values
E	-108.11	eV per cell
spin magnetization	0.000	μB per atom
ΔH_f (0 K)	-0.753	eV per formula unit
space group	P4/m, No. 83

Unit cell a=10.5142 b=10.5142 c=3.4269 alpha=90.00 beta=90.00 gamma=90.00
Fractional coordinates of all 16 atoms:
P (0.1002, 0.6445, 0.0000)
P (0.2373, 0.3607, 0.5000)
P (0.3555, 0.1002, 0.0000)
P (0.3607, 0.7627, 0.5000)
P (0.6393, 0.2373, 0.5000)
P (0.6445, 0.8998, 0.0000)
P (0.7627, 0.6393, 0.5000)
P (0.8998, 0.3555, 0.0000)
Rh (0.1085, 0.4191, 0.0000)
Rh (0.2294, 0.5930, 0.5000)
Rh (0.4070, 0.2294, 0.5000)
Rh (0.4191, 0.8915, 0.0000)
Rh (0.5809, 0.1085, 0.0000)
Rh (0.5930, 0.7706, 0.5000)
Rh (0.7706, 0.4070, 0.5000)
Rh (0.8915, 0.5809, 0.0000)

Below is a geometry-optimized CoPbBr2 structure, with properties calculated at the GGA-PBE level.

Calculated values
raw formation energy	0.02	eV per atom
E	-14.08	eV per cell
spin magnetization	0.534	μB per atom
distance to the lowest polymorph of the same formula	201	meV per atom
space group	P2/m, No. 10

Unit cell a=3.5413 b=3.5167 c=9.0655 alpha=90.00 beta=90.11 gamma=90.00
Fractional coordinates of all 4 atoms:
Co (0.0000, 0.0000, 0.0000)
Pb (0.0000, 0.0000, 0.5000)
Br (0.0175, 0.5000, 0.1862)
Br (0.9825, 0.5000, 0.8138)

Below is a geometry-optimized KPm2Pt9 structure, with properties calculated at the GGA-PBE level.

Calculated values
E	-73.01	eV per cell
spin magnetization	0.000	μB per atom
ΔH_f (0 K)	-8.039	eV per formula unit
space group	R-3m, No. 166

Unit cell a=9.3358 b=9.3358 c=9.3358 alpha=34.43 beta=34.43 gamma=34.43
Fractional coordinates of all 12 atoms:
K (0.0000, 0.0000, 0.0000)
Pm (0.1375, 0.1375, 0.1375)
Pm (0.8625, 0.8625, 0.8625)
Pt (0.0803, 0.5872, 0.5872)
Pt (0.3318, 0.3318, 0.3318)
Pt (0.4128, 0.4128, 0.9197)
Pt (0.4128, 0.9197, 0.4128)
Pt (0.5000, 0.5000, 0.5000)
Pt (0.5872, 0.0803, 0.5872)
Pt (0.5872, 0.5872, 0.0803)
Pt (0.6682, 0.6682, 0.6682)
Pt (0.9197, 0.4128, 0.4128)

Below is a geometry-optimized Ho3ScTl2S structure, with properties calculated at the GGA-PBE level.

Calculated values
raw formation energy	-0.68	eV per atom
E	-33.70	eV per cell
spin magnetization	0.000	μB per atom
space group	Immm, No. 71

Unit cell a=8.6911 b=8.6911 c=8.6911 alpha=148.03 beta=146.55 gamma=46.95
Fractional coordinates of all 7 atoms:
Ho (0.0000, 0.0000, 0.0000)
Ho (0.3286, 0.8286, 0.5000)
Ho (0.6714, 0.1714, 0.5000)
Sc (0.5000, 0.5000, 0.0000)
Tl (0.1338, 0.6338, 0.5000)
Tl (0.8662, 0.3662, 0.5000)
S (0.5000, 0.0000, 0.5000)

Below is a geometry-optimized HfCuN3 structure, with properties calculated at the GGA-PBE level.

Calculated values
raw formation energy	0.71	eV per atom
E	-35.47	eV per cell
spin magnetization	0.000	μB per atom
space group	Pm-3m, No. 221

Unit cell a=3.6775 b=3.6775 c=3.6775 alpha=90.00 beta=90.00 gamma=90.00
Fractional coordinates of all 5 atoms:
Hf (0.0000, 0.0000, 0.0000)
Cu (0.5000, 0.5000, 0.5000)
N (0.0000, 0.5000, 0.5000)
N (0.5000, 0.0000, 0.5000)
N (0.5000, 0.5000, 0.0000)

Below is a geometry-optimized Li2Sc2TaS6 structure, with properties calculated at the GGA-PBE level.

Calculated values
raw formation energy	-1.51	eV per atom
E	-69.70	eV per cell
spin magnetization	0.000	μB per atom
space group	C2/m, No. 12

Unit cell a=6.2334 b=6.2334 c=6.5232 alpha=99.27 beta=99.27 gamma=119.65
Fractional coordinates of all 11 atoms:
Li (0.1679, 0.8321, 0.0000)
Li (0.8321, 0.1679, 0.0000)
Sc (0.3339, 0.6661, 0.5000)
Sc (0.6661, 0.3339, 0.5000)
Ta (0.0000, 0.0000, 0.5000)
S (0.0782, 0.4015, 0.7382)
S (0.2410, 0.2410, 0.2612)
S (0.4015, 0.0782, 0.7382)
S (0.5985, 0.9218, 0.2618)
S (0.7590, 0.7590, 0.7388)
S (0.9218, 0.5985, 0.2618)

Below is a geometry-optimized Cs2IrN structure, with properties calculated at the GGA-PBE level.

Calculated values
raw formation energy	0.06	eV per atom
E	-37.31	eV per cell
spin magnetization	0.216	μB per atom
space group	I-42d, No. 122

Unit cell a=9.3802 b=9.3802 c=9.3802 alpha=92.30 beta=92.30 gamma=156.89
Fractional coordinates of all 8 atoms:
Cs (0.3750, 0.1499, 0.2749)
Cs (0.8501, 0.1250, 0.2251)
Cs (0.8750, 0.1001, 0.7251)
Cs (0.8999, 0.6250, 0.7749)
Ir (0.2500, 0.7500, 0.5000)
Ir (0.5000, 0.5000, 0.0000)
N (0.0000, 0.0000, 0.0000)
N (0.7500, 0.2500, 0.5000)

Below is a geometry-optimized K4MnPb structure, with properties calculated at the GGA-PBE level.

Calculated values
E	-13.54	eV per cell
spin magnetization	0.806	μB per atom
ΔH_f (0 K)	3.725	eV per formula unit
space group	F-43m, No. 216

Unit cell a=7.1451 b=7.1451 c=7.1451 alpha=60.00 beta=60.00 gamma=60.00
Fractional coordinates of all 6 atoms:
K (0.3755, 0.3755, 0.3755)
K (0.3755, 0.3755, 0.8734)
K (0.3755, 0.8734, 0.3755)
K (0.8734, 0.3755, 0.3755)
Mn (0.0000, 0.0000, 0.0000)
Pb (0.7500, 0.7500, 0.7500)

Below is a geometry-optimized CoHg3Te structure, with properties calculated at the GGA-PBE level.

Calculated values
raw formation energy	0.48	eV per atom
E	-8.78	eV per cell
spin magnetization	0.366	μB per atom
distance to the lowest polymorph of the same formula	0	meV per atom
space group	Pm-3m, No. 221

Unit cell a=5.0807 b=5.0807 c=5.0807 alpha=90.00 beta=90.00 gamma=90.00
Fractional coordinates of all 5 atoms:
Co (0.0000, 0.0000, 0.0000)
Hg (0.0000, 0.0000, 0.5000)
Hg (0.0000, 0.5000, 0.0000)
Hg (0.5000, 0.0000, 0.0000)
Te (0.5000, 0.5000, 0.5000)

Below is a geometry-optimized CuBr4 structure, with properties calculated at the GGA-PBE level.

Calculated values
raw formation energy	0.19	eV per atom
E	-9.84	eV per cell
spin magnetization	0.299	μB per atom
distance to the lowest polymorph of the same formula	340	meV per atom
space group	Pm-3m, No. 221

Unit cell a=5.0544 b=5.0544 c=5.0544 alpha=90.00 beta=90.00 gamma=90.00
Fractional coordinates of all 5 atoms:
Cu (0.0000, 0.0000, 0.0000)
Br (0.0000, 0.0000, 0.5000)
Br (0.0000, 0.5000, 0.0000)
Br (0.5000, 0.0000, 0.0000)
Br (0.5000, 0.5000, 0.5000)

Below is a geometry-optimized SmThGaSn structure, with properties calculated at the GGA-PBE level.

Calculated values
E	-20.92	eV per cell
spin magnetization	0.000	μB per atom
ΔH_f (0 K)	-1.753	eV per formula unit
space group	F-43m, No. 216

Unit cell a=5.3491 b=5.3491 c=5.3491 alpha=60.00 beta=60.00 gamma=60.00
Fractional coordinates of all 4 atoms:
Sm (0.0000, 0.0000, 0.0000)
Th (0.5000, 0.5000, 0.5000)
Ga (0.2500, 0.2500, 0.2500)
Sn (0.7500, 0.7500, 0.7500)

Below is a geometry-optimized KNaS2 structure, with properties calculated at the GGA-PBE level.

Calculated values
raw formation energy	-0.41	eV per atom
E	-12.31	eV per cell
spin magnetization	0.479	μB per atom
distance to the lowest polymorph of the same formula	406	meV per atom
space group	Fm-3m, No. 225

Unit cell a=5.1675 b=5.1675 c=5.1675 alpha=60.00 beta=60.00 gamma=60.00
Fractional coordinates of all 4 atoms:
K (0.0000, 0.0000, 0.0000)
Na (0.5000, 0.5000, 0.5000)
S (0.2500, 0.2500, 0.2500)
S (0.7500, 0.7500, 0.7500)